VASP calculation (PBE) on a relaxed TbMgGa4 crystal.

```
6
Lattice="0.0000 3.8890 3.8890 3.8890 0.0000 3.8890 3.8890 3.8890 0.0000" Properties=species:S:1:pos:R:3 pbc="T T T"
Tb 0.0000 0.0000 0.0000
Mg 5.8335 5.8335 5.8335
Ga 2.9152 2.9152 2.9152
Ga 4.8628 4.8628 2.9152
Ga 4.8628 2.9152 4.8628
Ga 2.9152 4.8628 4.8628
```

Output
volume: 117.6 Å³/cell
formation energy from the elements: -291 meV per atom
D(E_F): 3.4 states/eV/f.u.
space group: F-43m, No. 216
relative energy among the computed polymorphs: 106 meV/atom